# 1
Material: LaPm4Ru2
Method: DFT, PBE
State: relaxed

Total magnetization, μB per formula unit: 0.00
Formation enthalpy at 0 K, eV/atom: -0.149

a = 7.872 Å, b = 6.742 Å, c = 8.268 Å
α = 90.00°, β = 114.34°, γ = 90.00°
Space group P2_1/m (No. 11)
Symmetry-distinct sites (fractional):
La (0.029, 0.250, 0.177)
Pm (0.251, 0.504, 0.592)
Pm (0.319, 0.750, 0.254)
Pm (0.370, 0.250, 0.012)
Ru (0.014, 0.250, 0.716)
Ru (0.388, 0.250, 0.356)

***

# 2
Material: LaPmRu4
Method: DFT, PBE
State: relaxed

Total magnetization, μB per formula unit: 0.00
Formation enthalpy at 0 K, eV/atom: -0.144

a = 7.682 Å, b = 7.682 Å, c = 7.682 Å
α = 90.00°, β = 90.00°, γ = 90.00°
Space group F-43m (No. 216)
Symmetry-distinct sites (fractional):
La (0.000, 0.000, 0.000)
Pm (0.250, 0.250, 0.750)
Ru (0.125, 0.125, 0.375)

***

# 3
Material: LaPm4Ru2
Method: DFT, PBE
State: relaxed

Total magnetization, μB per formula unit: 0.00
Formation enthalpy at 0 K, eV/atom: -0.057

a = 4.9645 Å, b = 4.9645 Å, c = 29.3577 Å
α = 90.00°, β = 90.00°, γ = 120.00°
Space group R-3m (No. 166, hexagonal axes)
Symmetry-distinct sites (fractional):
La (0.0000, 0.0000, 0.0000)
Pm (0.0000, 0.0000, 0.2001)
Pm (0.0000, 0.0000, 0.4034)
Ru (0.0000, 0.0000, 0.0978)

***

# 4
Material: LaPmRu2
Method: DFT, PBE
State: relaxed

Total magnetization, μB per formula unit: 0.00
Formation enthalpy at 0 K, eV/atom: -0.094

a = 3.518 Å, b = 3.518 Å, c = 7.039 Å
α = 90.00°, β = 90.00°, γ = 90.00°
Space group P4/mmm (No. 123)
Symmetry-distinct sites (fractional):
La (0.000, 0.000, 0.000)
Pm (0.000, 0.000, 0.500)
Ru (0.500, 0.500, 0.247)

***

Q: Which value of formation enthalpy at 0 K does entry 2 give?
A: -0.144 eV/atom

***

Copy entry 2 word for word.
Material: LaPmRu4
Method: DFT, PBE
State: relaxed

Total magnetization, μB per formula unit: 0.00
Formation enthalpy at 0 K, eV/atom: -0.144

a = 7.682 Å, b = 7.682 Å, c = 7.682 Å
α = 90.00°, β = 90.00°, γ = 90.00°
Space group F-43m (No. 216)
Symmetry-distinct sites (fractional):
La (0.000, 0.000, 0.000)
Pm (0.250, 0.250, 0.750)
Ru (0.125, 0.125, 0.375)